Record 1
Material: AgAsBr6
Method: DFT, PBE-GGA
State: optimized geometry

The space group is F-43m (No. 216) and the conventional cell measures 10.114, 10.114 and 10.114 Å, with angles of 90.00, 90.00 and 90.00 degrees. The asymmetric unit holds Ag at (0.000, 0.000, 0.000), As at (0.250, 0.250, 0.250) and Br at (0.003, 0.250, 0.250).

As for the calculated volume: 1035 Å³ per cell. The final energy is -2.21 eV per atom.

---

Record 2
Material: K2AgAsBr6
Method: DFT, PBE-GGA
State: optimized geometry

The space group is Fm-3m (No. 225) and the conventional cell measures 10.925, 10.925 and 10.925 Å, with angles of 90.00, 90.00 and 90.00 degrees. The asymmetric unit holds K at (0.250, 0.250, 0.250), Ag at (0.000, 0.000, 0.000), As at (0.000, 0.000, 0.500) and Br at (0.000, 0.000, 0.256).

As for the calculated volume: 1304 Å³ per cell. The final energy is -2.89 eV per atom.

---

Record 3
Material: AgAsBrO2
Method: DFT, PBE-GGA
State: optimized geometry

The space group is P2_1/m (No. 11) and the conventional cell measures 6.541, 3.927 and 7.285 Å, with angles of 90.00, 108.90 and 90.00 degrees. The asymmetric unit holds Ag at (0.227, 0.250, 0.478), As at (0.122, 0.250, 0.907), Br at (0.453, 0.750, 0.718), O at (0.050, 0.750, 0.337) and O at (0.066, 0.750, 0.947).

As for the calculated volume: 177 Å³ per cell. The final energy is -4.42 eV per atom.

---

Record 4
Material: Ag5Te4AsBr2
Method: DFT, PBE-GGA
State: optimized geometry

The space group is Amm2 (No. 38) and the conventional cell measures 8.222, 12.427 and 6.644 Å, with angles of 90.00, 90.00 and 90.00 degrees. The asymmetric unit holds Ag at (0.000, 0.000, 0.000), Ag at (0.267, 0.197, 0.508), Te at (0.232, 0.000, 0.697), Te at (0.500, 0.164, 0.159), As at (0.500, 0.000, 0.907) and Br at (0.000, 0.176, 0.248).

As for the calculated volume: 679 Å³ per cell. The final energy is -3.01 eV per atom.

---

Record 5
Material: AgAsC4S8N4F6
Method: DFT, PBE-GGA
State: optimized geometry

The space group is P-4 (No. 81) and the conventional cell measures 8.049, 8.049 and 6.523 Å, with angles of 90.00, 90.00 and 90.00 degrees. The asymmetric unit holds Ag at (0.000, 0.000, 0.000), As at (0.500, 0.500, 0.000), C at (0.099, 0.721, 0.661), S at (0.036, 0.619, 0.249), S at (0.218, 0.638, 0.480), N at (0.019, 0.785, 0.790), F at (0.309, 0.391, 0.000) and F at (0.500, 0.500, 0.273).

As for the calculated volume: 423 Å³ per cell. The final energy is -5.47 eV per atom.

---

Record 6
Material: CdAg2As
Method: DFT, PBE-GGA
State: optimized geometry

The space group is F-43m (No. 216) and the conventional cell measures 6.801, 6.801 and 6.801 Å, with angles of 90.00, 90.00 and 90.00 degrees. The asymmetric unit holds Cd at (0.000, 0.000, 0.000), Ag at (0.000, 0.000, 0.500), Ag at (0.250, 0.250, 0.250) and As at (0.250, 0.250, 0.750).

As for the calculated volume: 315 Å³ per cell. The final energy is -2.67 eV per atom.